1.
La2CuNi2 | PBE | optimized geometry

Output
Its crystal system is tetragonal. For the total energy, the calculation gives -5.172 eV per atom.

a = 3.657 Å, b = 3.657 Å, c = 16.051 Å
α = 90.00°, β = 90.00°, γ = 90.00°
Atoms (fractional coordinates):
La 0.000 0.000 0.115
La 0.000 0.000 0.885
La 0.500 0.500 0.385
La 0.500 0.500 0.615
Cu 0.000 0.000 0.500
Cu 0.500 0.500 0.000
Ni 0.000 0.500 0.250
Ni 0.000 0.500 0.750
Ni 0.500 0.000 0.250
Ni 0.500 0.000 0.750


2.
YTm5In4 | PBE | optimized geometry

Output
Its crystal system is tetragonal. For the total energy, the calculation gives -4.331 eV per atom.

a = 3.541 Å, b = 3.541 Å, c = 21.408 Å
α = 90.00°, β = 90.00°, γ = 90.00°
Atoms (fractional coordinates):
Y 0.000 0.000 0.000
Tm 0.500 0.500 0.115
Tm 0.500 0.500 0.307
Tm 0.500 0.500 0.500
Tm 0.500 0.500 0.693
Tm 0.500 0.500 0.885
In 0.000 0.000 0.211
In 0.000 0.000 0.404
In 0.000 0.000 0.596
In 0.000 0.000 0.789


3.
KAlMo2 | PBE | optimized geometry

Output
Its crystal system is tetragonal. For the total energy, the calculation gives -5.248 eV per atom.

a = 3.984 Å, b = 3.984 Å, c = 4.822 Å
α = 90.00°, β = 90.00°, γ = 90.00°
Atoms (fractional coordinates):
K 0.000 0.000 0.000
Al 0.500 0.500 0.000
Mo 0.000 0.500 0.500
Mo 0.500 0.000 0.500


4.
LaAgI2O | PBE | optimized geometry

Output
As for the raw formation energy: -0.5044 eV/atom. Its crystal system is tetragonal.

a = 5.738 Å, b = 5.738 Å, c = 4.148 Å
α = 90.00°, β = 90.00°, γ = 90.00°
Atoms (fractional coordinates):
La 0.000 0.000 0.000
Ag 0.500 0.500 0.500
I 0.000 0.500 0.500
I 0.500 0.000 0.500
O 0.500 0.500 0.000


5.
LiLaCd | PBE | optimized geometry

Output
Its crystal system is cubic. For the total energy, the calculation gives -2.236 eV per atom.

a = 7.363 Å, b = 7.363 Å, c = 7.363 Å
α = 90.00°, β = 90.00°, γ = 90.00°
Atoms (fractional coordinates):
Li 0.000 0.000 0.000
Li 0.000 0.500 0.500
Li 0.500 0.000 0.500
Li 0.500 0.500 0.000
La 0.250 0.250 0.750
La 0.250 0.750 0.250
La 0.750 0.250 0.250
La 0.750 0.750 0.750
Cd 0.000 0.000 0.500
Cd 0.000 0.500 0.000
Cd 0.500 0.000 0.000
Cd 0.500 0.500 0.500


6.
La12Nd2Dy5 | PBE | optimized geometry

Output
Its crystal system is monoclinic. For the total energy, the calculation gives -4.649 eV per atom.

a = 12.078 Å, b = 12.078 Å, c = 6.350 Å
α = 91.06°, β = 91.06°, γ = 46.90°
Atoms (fractional coordinates):
La 0.070 0.070 0.420
La 0.119 0.466 0.848
La 0.174 0.572 0.393
La 0.422 0.422 0.947
La 0.428 0.826 0.607
La 0.466 0.119 0.848
La 0.534 0.881 0.152
La 0.572 0.174 0.393
La 0.578 0.578 0.053
La 0.826 0.428 0.607
La 0.881 0.534 0.152
La 0.930 0.930 0.580
Nd 0.189 0.811 0.000
Nd 0.811 0.189 0.000
Dy 0.141 0.141 0.935
Dy 0.233 0.233 0.384
Dy 0.500 0.500 0.500
Dy 0.767 0.767 0.616
Dy 0.859 0.859 0.065


7.
TeOs2Pb | PBE | optimized geometry

Output
As for the raw formation energy: 0.4808 eV/atom. Its crystal system is orthorhombic.

a = 3.511 Å, b = 2.938 Å, c = 17.827 Å
α = 90.00°, β = 90.00°, γ = 90.00°
Atoms (fractional coordinates):
Te 0.000 0.000 0.000
Te 0.000 0.500 0.500
Os 0.000 0.000 0.686
Os 0.000 0.500 0.186
Os 0.500 0.000 0.119
Os 0.500 0.500 0.619
Pb 0.500 0.000 0.307
Pb 0.500 0.500 0.807


8.
MnAgRh | PBE | optimized geometry

Output
Its crystal system is monoclinic. For the total energy, the calculation gives -6.404 eV per atom.

a = 3.105 Å, b = 4.412 Å, c = 6.948 Å
α = 90.00°, β = 102.98°, γ = 90.00°
Atoms (fractional coordinates):
Mn 0.073 0.250 0.147
Mn 0.927 0.750 0.853
Ag 0.259 0.750 0.518
Ag 0.741 0.250 0.482
Rh 0.421 0.250 0.843
Rh 0.579 0.750 0.157


9.
CaNdSb2 | PBE | optimized geometry

Output
As for the raw formation energy: -0.8645 eV/atom. Its crystal system is trigonal.

a = 4.704 Å, b = 4.704 Å, c = 21.172 Å
α = 90.00°, β = 90.00°, γ = 120.00°
Atoms (fractional coordinates):
Ca 0.000 0.000 0.000
Ca 0.333 0.667 0.667
Ca 0.667 0.333 0.333
Nd 0.000 0.000 0.175
Nd 0.333 0.667 0.842
Nd 0.667 0.333 0.508
Sb 0.000 0.000 0.421
Sb 0.000 0.000 0.584
Sb 0.333 0.667 0.088
Sb 0.333 0.667 0.251
Sb 0.667 0.333 0.754
Sb 0.667 0.333 0.918


10.
TcIrRu2 | PBE | optimized geometry

Output
Its crystal system is orthorhombic. For the total energy, the calculation gives -9.450 eV per atom.

a = 5.444 Å, b = 7.669 Å, c = 2.724 Å
α = 90.00°, β = 90.00°, γ = 90.00°
Atoms (fractional coordinates):
Tc 0.000 0.000 0.000
Tc 0.500 0.500 0.000
Ir 0.000 0.500 0.000
Ir 0.500 0.000 0.000
Ru 0.250 0.250 0.500
Ru 0.250 0.750 0.500
Ru 0.750 0.250 0.500
Ru 0.750 0.750 0.500


11.
LiTbCdRu | PBE | optimized geometry

Output
Its crystal system is cubic. For the total energy, the calculation gives -4.294 eV per atom.

a = 6.741 Å, b = 6.741 Å, c = 6.741 Å
α = 90.00°, β = 90.00°, γ = 90.00°
Atoms (fractional coordinates):
Li 0.000 0.000 0.000
Li 0.000 0.500 0.500
Li 0.500 0.000 0.500
Li 0.500 0.500 0.000
Tb 0.250 0.250 0.750
Tb 0.250 0.750 0.250
Tb 0.750 0.250 0.250
Tb 0.750 0.750 0.750
Cd 0.250 0.250 0.250
Cd 0.250 0.750 0.750
Cd 0.750 0.250 0.750
Cd 0.750 0.750 0.250
Ru 0.000 0.000 0.500
Ru 0.000 0.500 0.000
Ru 0.500 0.000 0.000
Ru 0.500 0.500 0.500


12.
Ca4LaNd3 | PBE | optimized geometry

Output
Its crystal system is orthorhombic. For the total energy, the calculation gives -3.381 eV per atom.

a = 5.355 Å, b = 10.709 Å, c = 10.777 Å
α = 90.00°, β = 90.00°, γ = 90.00°
Atoms (fractional coordinates):
Ca 0.250 0.001 0.133
Ca 0.250 0.250 0.868
Ca 0.250 0.499 0.133
Ca 0.250 0.750 0.866
Ca 0.750 0.250 0.134
Ca 0.750 0.501 0.867
Ca 0.750 0.750 0.132
Ca 0.750 0.999 0.867
La 0.250 0.750 0.390
La 0.750 0.250 0.610
Nd 0.250 0.000 0.612
Nd 0.250 0.250 0.389
Nd 0.250 0.500 0.612
Nd 0.750 0.000 0.388
Nd 0.750 0.500 0.388
Nd 0.750 0.750 0.611


13.
LiCeHoHg | PBE | optimized geometry

Output
Its crystal system is cubic. For the total energy, the calculation gives -3.274 eV per atom.

a = 7.470 Å, b = 7.470 Å, c = 7.470 Å
α = 90.00°, β = 90.00°, γ = 90.00°
Atoms (fractional coordinates):
Li 0.000 0.000 0.000
Li 0.000 0.500 0.500
Li 0.500 0.000 0.500
Li 0.500 0.500 0.000
Ce 0.250 0.250 0.750
Ce 0.250 0.750 0.250
Ce 0.750 0.250 0.250
Ce 0.750 0.750 0.750
Ho 0.250 0.250 0.250
Ho 0.250 0.750 0.750
Ho 0.750 0.250 0.750
Ho 0.750 0.750 0.250
Hg 0.000 0.000 0.500
Hg 0.000 0.500 0.000
Hg 0.500 0.000 0.000
Hg 0.500 0.500 0.500


14.
Ac6Pm2Pr | PBE | optimized geometry

Output
Its crystal system is monoclinic. For the total energy, the calculation gives -4.151 eV per atom.

a = 6.621 Å, b = 6.621 Å, c = 9.637 Å
α = 94.78°, β = 94.78°, γ = 113.47°
Atoms (fractional coordinates):
Ac 0.010 0.649 0.826
Ac 0.213 0.213 0.648
Ac 0.351 0.990 0.174
Ac 0.649 0.010 0.826
Ac 0.787 0.787 0.352
Ac 0.990 0.351 0.174
Pm 0.288 0.712 0.500
Pm 0.712 0.288 0.500
Pr 0.500 0.500 0.000


15.
PrErTmTl | PBE | optimized geometry

Output
Its crystal system is orthorhombic. For the total energy, the calculation gives -4.217 eV per atom.

a = 4.823 Å, b = 4.908 Å, c = 4.925 Å
α = 90.00°, β = 90.00°, γ = 90.00°
Atoms (fractional coordinates):
Pr 0.000 0.000 0.000
Er 0.500 0.500 0.000
Tm 0.500 0.000 0.500
Tl 0.000 0.500 0.500


16.
Y3Mn5Se12 | PBE | optimized geometry

Output
As for the raw formation energy: -0.9020 eV/atom. Its crystal system is cubic.

a = 13.627 Å, b = 13.627 Å, c = 13.627 Å
α = 109.47°, β = 109.47°, γ = 109.47°
Atoms (fractional coordinates):
Y 0.125 0.250 0.375
Y 0.125 0.375 0.750
Y 0.250 0.375 0.125
Y 0.250 0.875 0.625
Y 0.375 0.125 0.250
Y 0.375 0.750 0.125
Y 0.625 0.250 0.875
Y 0.625 0.875 0.750
Y 0.750 0.125 0.375
Y 0.750 0.625 0.875
Y 0.875 0.625 0.250
Y 0.875 0.750 0.625
Mn 0.000 0.000 0.000
Mn 0.000 0.000 0.500
Mn 0.000 0.500 0.000
Mn 0.000 0.500 0.500
Mn 0.125 0.750 0.875
Mn 0.125 0.875 0.250
Mn 0.250 0.125 0.875
Mn 0.250 0.625 0.375
Mn 0.375 0.250 0.625
Mn 0.375 0.625 0.750
Mn 0.500 0.000 0.000
Mn 0.500 0.000 0.500
Mn 0.500 0.500 0.000
Mn 0.500 0.500 0.500
Mn 0.625 0.375 0.250
Mn 0.625 0.750 0.375
Mn 0.750 0.375 0.625
Mn 0.750 0.875 0.125
Mn 0.875 0.125 0.750
Mn 0.875 0.250 0.125
Se 0.034 0.208 0.124
Se 0.034 0.326 0.910
Se 0.085 0.708 0.674
Se 0.085 0.876 0.410
Se 0.090 0.624 0.415
Se 0.090 0.966 0.674
Se 0.124 0.034 0.208
Se 0.124 0.590 0.915
Se 0.174 0.208 0.585
Se 0.174 0.466 0.590
Se 0.208 0.124 0.034
Se 0.208 0.585 0.174
Se 0.292 0.326 0.915
Se 0.292 0.466 0.376
Se 0.326 0.910 0.034
Se 0.326 0.915 0.292
Se 0.376 0.292 0.466
Se 0.376 0.585 0.910
Se 0.410 0.085 0.876
Se 0.410 0.826 0.534
Se 0.415 0.090 0.624
Se 0.415 0.826 0.792
Se 0.466 0.376 0.292
Se 0.466 0.590 0.174
Se 0.534 0.410 0.826
Se 0.534 0.624 0.708
Se 0.585 0.174 0.208
Se 0.585 0.910 0.376
Se 0.590 0.174 0.466
Se 0.590 0.915 0.124
Se 0.624 0.415 0.090
Se 0.624 0.708 0.534
Se 0.674 0.085 0.708
Se 0.674 0.090 0.966
Se 0.708 0.534 0.624
Se 0.708 0.674 0.085
Se 0.792 0.415 0.826
Se 0.792 0.876 0.966
Se 0.826 0.534 0.410
Se 0.826 0.792 0.415
Se 0.876 0.410 0.085
Se 0.876 0.966 0.792
Se 0.910 0.034 0.326
Se 0.910 0.376 0.585
Se 0.915 0.124 0.590
Se 0.915 0.292 0.326
Se 0.966 0.674 0.090
Se 0.966 0.792 0.876


17.
Mg2ScTa | PBE | optimized geometry

Output
Its crystal system is monoclinic. For the total energy, the calculation gives -5.131 eV per atom.

a = 3.032 Å, b = 4.410 Å, c = 6.282 Å
α = 90.00°, β = 90.07°, γ = 90.00°
Atoms (fractional coordinates):
Mg 0.000 0.000 0.000
Mg 0.500 0.500 0.257
Sc 0.000 0.000 0.528
Ta 0.501 0.500 0.747


18.
La3NdPb2Se | PBE | optimized geometry

Output
As for the raw formation energy: -0.7150 eV/atom. Its crystal system is orthorhombic.

a = 5.465 Å, b = 5.520 Å, c = 17.013 Å
α = 90.00°, β = 90.00°, γ = 90.00°
Atoms (fractional coordinates):
La 0.000 0.000 0.000
La 0.000 0.500 0.174
La 0.000 0.500 0.826
La 0.500 0.000 0.326
La 0.500 0.000 0.674
La 0.500 0.500 0.500
Nd 0.000 0.000 0.500
Nd 0.500 0.500 0.000
Pb 0.000 0.500 0.368
Pb 0.000 0.500 0.632
Pb 0.500 0.000 0.132
Pb 0.500 0.000 0.868
Se 0.000 0.500 0.000
Se 0.500 0.000 0.500


19.
Ho4InRu | PBE | optimized geometry

Output
Its crystal system is monoclinic. For the total energy, the calculation gives -5.271 eV per atom.

a = 8.714 Å, b = 5.009 Å, c = 8.502 Å
α = 90.00°, β = 109.91°, γ = 90.00°
Atoms (fractional coordinates):
Ho 0.114 0.000 0.339
Ho 0.135 0.500 0.907
Ho 0.365 0.000 0.093
Ho 0.386 0.500 0.661
Ho 0.614 0.500 0.339
Ho 0.635 0.000 0.907
Ho 0.865 0.500 0.093
Ho 0.886 0.000 0.661
In 0.000 0.500 0.500
In 0.500 0.000 0.500
Ru 0.000 0.000 0.000
Ru 0.500 0.500 0.000


20.
LiAgAs2Br | PBE | optimized geometry

Output
As for the raw formation energy: 0.3455 eV/atom. Its crystal system is tetragonal.

a = 4.938 Å, b = 4.938 Å, c = 6.175 Å
α = 90.00°, β = 90.00°, γ = 90.00°
Atoms (fractional coordinates):
Li 0.000 0.000 0.000
Ag 0.500 0.500 0.500
As 0.000 0.500 0.500
As 0.500 0.000 0.500
Br 0.500 0.500 0.000


Magnetic moment (computed, μB per atom): 0.00 0.00 0.00 0.06 0.00 0.00 0.00 1.45 0.00 0.00 0.00 0.00 0.34 0.00 0.05 1.00 0.00 0.00 0.00 0.39